(1)
Compound: Dy6Ho4Tm
Source: Alexandria
Functional: PBE-GGA
Structure: relaxed

Results
M_tot: 0.0 μB/f.u.
SG: No. 63
energy above the lowest structure with this stoichiometry: 0.00 eV per formula unit

abc: 5.5488 5.5488 25.3961
angles: 90.00 90.00 118.66
Sites, in units of the cell vectors:
Dy (0.0000, 0.0000, 0.0000)
Dy (0.0000, 0.0000, 0.5000)
Dy (0.0273, 0.9727, 0.7500)
Dy (0.3067, 0.6933, 0.1047)
Dy (0.3067, 0.6933, 0.3953)
Dy (0.3613, 0.6387, 0.6820)
Dy (0.3613, 0.6387, 0.8180)
Dy (0.6387, 0.3613, 0.1820)
Dy (0.6387, 0.3613, 0.3180)
Dy (0.6933, 0.3067, 0.6047)
Dy (0.6933, 0.3067, 0.8953)
Dy (0.9727, 0.0273, 0.2500)
Ho (0.0323, 0.9677, 0.6216)
Ho (0.0323, 0.9677, 0.8784)
Ho (0.3447, 0.6553, 0.5430)
Ho (0.3447, 0.6553, 0.9570)
Ho (0.6553, 0.3447, 0.0430)
Ho (0.6553, 0.3447, 0.4570)
Ho (0.9677, 0.0323, 0.1216)
Ho (0.9677, 0.0323, 0.3784)
Tm (0.3077, 0.6923, 0.2500)
Tm (0.6923, 0.3077, 0.7500)

---

(2)
Compound: DyHo4Tm
Source: Alexandria
Functional: PBE-GGA
Structure: relaxed

Results
M_tot: 0.0 μB/f.u.
SG: No. 2
energy above the lowest structure with this stoichiometry: 0.11 eV per formula unit

abc: 4.9566 6.0861 7.0292
angles: 73.12 89.99 66.05
Sites, in units of the cell vectors:
Dy (0.0000, 0.0000, 0.0000)
Ho (0.3331, 0.3338, 0.6662)
Ho (0.3337, 0.3325, 0.1672)
Ho (0.6663, 0.6675, 0.8328)
Ho (0.6669, 0.6662, 0.3338)
Tm (0.0000, 0.0000, 0.5000)